## Th2Zn2Tc (PBE-GGA)

Data for a relaxed structure of Th2Zn2Tc.

**Calculated total energy**: -5.725 eV/atom

Lattice parameters (Å, degrees): 12.3149 4.6045 8.3965 90.00 109.00 90.00
With the nearest neighbours (Å) after each atom.
Space group C2/m (No. 12)
Asymmetric unit:
Th 0.1264 0.0000 0.4059 x4  1 Tc 2.59
Th 0.1445 0.0000 0.0005 x4  1 Tc 2.80, 2 Zn 3.12
Zn 0.0409 0.5000 0.1575 x4  2 Zn 2.51-2.61, 1 Tc 2.68
Zn 0.1065 0.5000 0.6783 x4  1 Zn 2.61, 2 Tc 2.71
Tc 0.2292 0.0000 0.7285 x4  2 Th 2.59-2.80, 3 Zn 2.68-2.71

## Th2ZnTc2 (PBE-GGA)

Data for a relaxed structure of Th2ZnTc2.

**Calculated total energy**: -7.523 eV/atom

Lattice parameters (Å, degrees): 10.2298 5.4088 8.3370 90.00 108.19 90.00
With the nearest neighbours (Å) after each atom.
Space group C2/c (No. 15)
Asymmetric unit:
Th 0.1464 0.1499 0.1404 x8  4 Tc 2.81-3.03
Zn 0.0000 0.3709 0.7500 x4  4 Tc 2.66-2.81
Tc 0.1413 0.3426 0.5315 x8  1 Tc 2.64, 2 Zn 2.66-2.81, 3 Th 2.81-2.91

| no. | formation energy from the elements (meV per atom) |
| --- | --- |
| 1 | -174 |
| 2 | -154 |